[1]
La4Nd15Er after structural relaxation, computed with PBE-GGA.

a = 5.220 Å, b = 5.220 Å, c = 26.045 Å
α = 90.00°, β = 90.00°, γ = 90.00°
Atoms (fractional coordinates):
Nd: 0.500 0.000 0.701
Nd: 0.500 0.500 0.000
Nd: 0.000 0.500 0.299
Nd: 0.000 0.500 0.500
Nd: 0.500 0.000 0.902
Nd: 0.500 0.000 0.299
Nd: 0.500 0.000 0.098
Nd: 0.000 0.500 0.902
Nd: 0.500 0.000 0.500
Nd: 0.000 0.500 0.701
Nd: 0.500 0.500 0.802
Nd: 0.500 0.500 0.400
Nd: 0.500 0.500 0.600
Nd: 0.000 0.500 0.098
Nd: 0.500 0.500 0.198
La: 0.000 0.000 0.199
La: 0.000 0.000 0.601
La: 0.000 0.000 0.399
La: 0.000 0.000 0.801
Er: 0.000 0.000 0.000

As for the volume: 709.75 Å³/cell. The size of the total moment comes out at 0.0 Bohr magnetons per cell. The formation enthalpy at 0 K is 16 meV/atom. As for the space-group type: No. 123.

---

[2]
La12Nd7Er after structural relaxation, computed with PBE-GGA.

a = 8.961 Å, b = 8.961 Å, c = 8.961 Å
α = 89.70°, β = 89.70°, γ = 89.70°
Atoms (fractional coordinates):
Er: 0.000 0.000 0.000
La: 0.484 0.601 0.144
La: 0.856 0.516 0.399
La: 0.721 0.855 0.254
La: 0.746 0.279 0.145
La: 0.279 0.145 0.746
La: 0.601 0.144 0.484
La: 0.144 0.484 0.601
La: 0.399 0.856 0.516
La: 0.254 0.721 0.855
La: 0.145 0.746 0.279
La: 0.516 0.399 0.856
La: 0.855 0.254 0.721
Nd: 0.071 0.137 0.382
Nd: 0.929 0.863 0.618
Nd: 0.382 0.071 0.137
Nd: 0.500 0.500 0.500
Nd: 0.618 0.929 0.863
Nd: 0.137 0.382 0.071
Nd: 0.863 0.618 0.929

As for the volume: 719.56 Å³/cell. The size of the total moment comes out at 0.0 Bohr magnetons per cell. The formation enthalpy at 0 K is 177 meV/atom. As for the space-group type: No. 148.

---

[3]
La4Nd5Er4 after structural relaxation, computed with PBE-GGA.

a = 5.176 Å, b = 9.647 Å, c = 9.653 Å
α = 85.85°, β = 74.45°, γ = 74.44°
Atoms (fractional coordinates):
Nd: 0.310 0.148 0.232
Nd: 0.542 0.768 0.148
Nd: 0.458 0.232 0.852
Nd: 0.690 0.852 0.768
Nd: 0.000 0.000 0.000
La: 0.923 0.460 0.695
La: 0.617 0.305 0.460
La: 0.383 0.695 0.540
La: 0.077 0.540 0.305
Er: 0.154 0.077 0.615
Er: 0.231 0.615 0.923
Er: 0.769 0.385 0.077
Er: 0.846 0.923 0.385

As for the volume: 447.35 Å³/cell. The size of the total moment comes out at 0.0 Bohr magnetons per cell. The formation enthalpy at 0 K is 23 meV/atom. As for the space-group type: No. 87.

---

[4]
La2NdEr5 after structural relaxation, computed with PBE-GGA.

a = 7.139 Å, b = 7.139 Å, c = 7.139 Å
α = 91.33°, β = 119.32°, γ = 119.15°
Atoms (fractional coordinates):
Er: 0.778 0.778 0.500
Er: 0.278 0.278 0.000
Er: 0.278 0.278 0.500
Er: 0.778 0.278 0.000
Er: 0.278 0.778 0.000
La: 0.278 0.778 0.500
La: 0.777 0.278 0.500
Nd: 0.778 0.778 0.000

As for the volume: 260.18 Å³/cell. The size of the total moment comes out at 0.0 Bohr magnetons per cell. The formation enthalpy at 0 K is 21 meV/atom. As for the space-group type: No. 71.

---

[5]
La3Nd8Er4 after structural relaxation, computed with PBE-GGA.

a = 6.948 Å, b = 9.410 Å, c = 9.410 Å
α = 82.08°, β = 112.59°, γ = 112.59°
Atoms (fractional coordinates):
Er: 0.000 0.000 0.500
Er: 0.000 0.500 0.000
Er: 0.000 0.000 0.000
Er: 0.500 0.000 0.000
Nd: 0.500 0.247 0.753
Nd: 0.827 0.755 0.755
Nd: 0.241 0.703 0.703
Nd: 0.759 0.297 0.297
Nd: 0.500 0.753 0.247
Nd: 0.173 0.245 0.245
Nd: 0.000 0.707 0.293
Nd: 0.000 0.293 0.707
La: 0.500 0.500 0.000
La: 0.500 0.000 0.500
La: 0.500 0.500 0.500

As for the volume: 524.45 Å³/cell. The size of the total moment comes out at 0.0 Bohr magnetons per cell. The formation enthalpy at 0 K is 322 meV/atom. As for the space-group type: No. 12.

---

[6]
La5Nd6Er after structural relaxation, computed with PBE-GGA.

a = 12.247 Å, b = 6.396 Å, c = 6.396 Å
α = 60.00°, β = 84.96°, γ = 79.88°
Atoms (fractional coordinates):
La: 0.500 0.834 0.333
La: 0.000 0.667 0.666
La: 0.000 0.333 0.334
La: 0.500 0.166 0.667
La: 0.500 0.500 0.000
Nd: 0.249 0.586 0.331
Nd: 0.248 0.250 0.000
Nd: 0.751 0.082 0.331
Nd: 0.752 0.750 0.000
Nd: 0.751 0.414 0.669
Nd: 0.249 0.918 0.669
Er: 0.000 0.000 0.000

As for the volume: 427.10 Å³/cell. The size of the total moment comes out at 0.0 Bohr magnetons per cell. The formation enthalpy at 0 K is 15 meV/atom. As for the space-group type: No. 12.

---

[7]
La3Nd2Er4 after structural relaxation, computed with PBE-GGA.

a = 6.246 Å, b = 5.155 Å, c = 10.894 Å
α = 90.02°, β = 106.07°, γ = 114.32°
Atoms (fractional coordinates):
Nd: 0.668 0.334 0.781
Nd: 0.332 0.666 0.219
Er: 0.001 0.001 0.667
Er: 0.668 0.334 0.111
Er: 0.999 0.999 0.333
Er: 0.332 0.666 0.889
La: 0.334 0.667 0.558
La: 0.666 0.333 0.442
La: 0.000 0.000 0.000

As for the volume: 304.51 Å³/cell. The size of the total moment comes out at 0.0 Bohr magnetons per cell. The formation enthalpy at 0 K is 30 meV/atom. As for the space-group type: No. 12.

---

[8]
La5Nd4Er after structural relaxation, computed with PBE-GGA.

a = 4.317 Å, b = 4.317 Å, c = 19.296 Å
α = 90.00°, β = 90.00°, γ = 90.00°
Atoms (fractional coordinates):
La: 0.500 0.500 0.500
La: 0.500 0.500 0.698
La: 0.500 0.500 0.904
La: 0.500 0.500 0.096
La: 0.500 0.500 0.302
Nd: 0.000 0.000 0.799
Nd: 0.000 0.000 0.399
Nd: 0.000 0.000 0.201
Nd: 0.000 0.000 0.601
Er: 0.000 0.000 0.000

As for the volume: 359.53 Å³/cell. The size of the total moment comes out at 0.0 Bohr magnetons per cell. The formation enthalpy at 0 K is 93 meV/atom. As for the space-group type: No. 123.

---

[9]
La6Nd2Er5 after structural relaxation, computed with PBE-GGA.

a = 3.651 Å, b = 12.011 Å, c = 20.678 Å
α = 90.00°, β = 90.00°, γ = 90.00°
Atoms (fractional coordinates):
La: 0.000 0.427 0.863
La: 0.000 0.456 0.578
La: 0.000 0.044 0.078
La: 0.500 0.815 0.377
La: 0.000 0.544 0.422
La: 0.000 0.573 0.137
La: 0.500 0.315 0.123
La: 0.000 0.956 0.922
La: 0.000 0.073 0.363
La: 0.500 0.685 0.877
La: 0.000 0.927 0.637
La: 0.500 0.185 0.623
Nd: 0.000 0.165 0.784
Nd: 0.000 0.665 0.716
Nd: 0.000 0.335 0.284
Nd: 0.000 0.835 0.216
Er: 0.500 0.094 0.222
Er: 0.500 0.000 0.500
Er: 0.500 0.789 0.056
Er: 0.500 0.406 0.722
Er: 0.500 0.906 0.778
Er: 0.500 0.289 0.444
Er: 0.500 0.594 0.278
Er: 0.500 0.500 0.000
Er: 0.500 0.211 0.944
Er: 0.500 0.711 0.556

As for the volume: 906.70 Å³/cell. The size of the total moment comes out at 0.0 Bohr magnetons per cell. The formation enthalpy at 0 K is 112 meV/atom. As for the space-group type: No. 55.

---

[10]
La3Nd6Er after structural relaxation, computed with PBE-GGA.

a = 6.409 Å, b = 10.667 Å, c = 10.667 Å
α = 100.58°, β = 90.00°, γ = 90.00°
Atoms (fractional coordinates):
Nd: 0.404 0.015 0.433
Nd: 0.616 0.258 0.742
Nd: 0.729 0.061 0.939
Nd: 0.229 0.939 0.061
Nd: 0.076 0.440 0.321
Nd: 0.076 0.679 0.560
Nd: 0.576 0.321 0.440
Nd: 0.404 0.567 0.985
Nd: 0.576 0.560 0.679
Nd: 0.116 0.742 0.258
Nd: 0.904 0.433 0.015
Nd: 0.904 0.985 0.567
La: 0.454 0.278 0.135
La: 0.954 0.722 0.865
La: 0.454 0.865 0.722
La: 0.954 0.135 0.278
La: 0.092 0.364 0.636
La: 0.592 0.636 0.364
Er: 0.180 0.153 0.847
Er: 0.680 0.847 0.153

As for the volume: 716.93 Å³/cell. The size of the total moment comes out at 0.0 Bohr magnetons per cell. The formation enthalpy at 0 K is 167 meV/atom. As for the space-group type: No. 36.

---

[11]
La3NdEr5 after structural relaxation, computed with PBE-GGA.

a = 8.711 Å, b = 8.711 Å, c = 10.022 Å
α = 115.76°, β = 115.76°, γ = 90.00°
Atoms (fractional coordinates):
La: 0.117 0.383 0.000
La: 0.617 0.117 0.000
La: 0.383 0.883 0.000
La: 0.250 0.250 0.500
La: 0.883 0.617 0.000
La: 0.750 0.750 0.500
Nd: 0.250 0.750 0.500
Nd: 0.750 0.250 0.500
Er: 0.352 0.852 0.278
Er: 0.426 0.352 0.278
Er: 0.500 0.500 0.000
Er: 0.074 0.574 0.722
Er: 0.000 0.000 0.000
Er: 0.926 0.426 0.278
Er: 0.574 0.648 0.722
Er: 0.852 0.926 0.278
Er: 0.648 0.148 0.722
Er: 0.148 0.074 0.722

As for the volume: 599.89 Å³/cell. The size of the total moment comes out at 0.0 Bohr magnetons per cell. The formation enthalpy at 0 K is 238 meV/atom. As for the space-group type: No. 140.

---

[12]
LaNd2Er after structural relaxation, computed with PBE-GGA.

a = 5.190 Å, b = 5.150 Å, c = 5.150 Å
α = 90.00°, β = 90.00°, γ = 90.00°
Atoms (fractional coordinates):
Er: 0.500 0.500 0.500
La: 0.500 0.000 0.000
Nd: 0.000 0.500 0.000
Nd: 0.000 0.000 0.500

As for the volume: 137.65 Å³/cell. The size of the total moment comes out at 0.0 Bohr magnetons per cell. The formation enthalpy at 0 K is 16 meV/atom. As for the space-group type: No. 123.

---

Question: What is the formation enthalpy at 0 K in the first record?
Answer: 16 meV/atom